1.
Here is a relaxed YErGaAu crystal from Alexandria. Energies are from PBE-GGA.

Results
**Offset from the most stable computed form**: 0.024 eV per atom
**V**: 23.2 Å³/atom
**Formation energy**: -712 meV per atom
**VASP energy**: -20.2 eV/cell

Cell: 5.0822 5.0822 5.0822 Å, 60.00 60.00 60.00°
Sites, in units of the cell vectors:
Ga (0.5000, 0.5000, 0.5000)
Y (0.7500, 0.7500, 0.7500)
Er (0.2500, 0.2500, 0.2500)
Au (0.0000, 0.0000, 0.0000)

2.
Here is a relaxed YErGaAu crystal from Alexandria. Energies are from PBE-GGA.

Results
**Offset from the most stable computed form**: 0.000 eV per atom
**V**: 23.7 Å³/atom
**Formation energy**: -736 meV per atom
**VASP energy**: -20.3 eV/cell

Cell: 3.7759 4.5294 5.8599 Å, 90.00 108.80 90.00°
Sites, in units of the cell vectors:
Au (0.4209, 0.0000, 0.8418)
Ga (0.5818, 0.5000, 0.1637)
Er (0.1428, 0.0000, 0.2857)
Y (0.8544, 0.5000, 0.7088)

3.
Here is a relaxed Er2ZnGa4Au3 crystal from Alexandria. Energies are from PBE-GGA.

Results
**V**: 19.5 Å³/atom
**Formation energy**: -541 meV per atom
**VASP energy**: -37.8 eV/cell

Cell: 4.1723 4.1723 11.1832 Å, 90.00 90.00 90.00°
Sites, in units of the cell vectors:
Er (0.5000, 0.0000, 0.2588)
Au (0.5000, 0.0000, 0.8587)
Zn (0.5000, 0.5000, 0.5000)
Au (0.0000, 0.5000, 0.1413)
Ga (0.0000, 0.5000, 0.3634)
Au (0.0000, 0.0000, 0.5000)
Ga (0.0000, 0.0000, 0.0000)
Ga (0.5000, 0.5000, 0.0000)
Er (0.0000, 0.5000, 0.7412)
Ga (0.5000, 0.0000, 0.6366)

4.
Here is a relaxed ErZn2GaAu2 crystal from Alexandria. Energies are from PBE-GGA.

Results
**V**: 18.7 Å³/atom
**Formation energy**: -446 meV per atom
**VASP energy**: -19.4 eV/cell

Cell: 4.6109 4.6109 6.0926 Å, 90.00 90.00 120.00°
Sites, in units of the cell vectors:
Ga (0.0000, 0.0000, 0.5000)
Au (0.6667, 0.3333, 0.7518)
Zn (0.6667, 0.3333, 0.2745)
Zn (0.3333, 0.6667, 0.7255)
Au (0.3333, 0.6667, 0.2482)
Er (0.0000, 0.0000, 0.0000)

5.
Here is a relaxed ErZnGaAu crystal from Alexandria. Energies are from PBE-GGA.

Results
**V**: 19.2 Å³/atom
**Formation energy**: -491 meV per atom
**VASP energy**: -14.1 eV/cell

Cell: 4.7674 4.7674 4.7674 Å, 60.00 60.00 60.00°
Sites, in units of the cell vectors:
Ga (0.5000, 0.5000, 0.5000)
Au (0.0000, 0.0000, 0.0000)
Zn (0.7500, 0.7500, 0.7500)
Er (0.2500, 0.2500, 0.2500)

6.
Here is a relaxed Er2ZnGa3Au4 crystal from Alexandria. Energies are from PBE-GGA.

Results
**V**: 19.9 Å³/atom
**Formation energy**: -541 meV per atom
**VASP energy**: -38.0 eV/cell

Cell: 4.2953 4.2953 10.7691 Å, 90.00 90.00 90.00°
Sites, in units of the cell vectors:
Ga (0.0000, 0.5000, 0.1350)
Ga (0.0000, 0.0000, 0.5000)
Au (0.5000, 0.0000, 0.6370)
Zn (0.5000, 0.5000, 0.5000)
Ga (0.5000, 0.0000, 0.8650)
Er (0.5000, 0.0000, 0.2510)
Au (0.0000, 0.5000, 0.3630)
Au (0.5000, 0.5000, 0.0000)
Er (0.0000, 0.5000, 0.7490)
Au (0.0000, 0.0000, 0.0000)

7.
Here is a relaxed ErZrGaAu crystal from Alexandria. Energies are from PBE-GGA.

Results
**V**: 21.3 Å³/atom
**Formation energy**: -525 meV per atom
**VASP energy**: -21.5 eV/cell

Cell: 4.9367 4.9367 4.9367 Å, 60.00 60.00 60.00°
Last column: magnetic moment on the atom in μB.
Sites, in units of the cell vectors:
Au (0.7500, 0.7500, 0.7500)  0.06
Zr (0.5000, 0.5000, 0.5000)  0.46
Er (0.0000, 0.0000, 0.0000)  0.23
Ga (0.2500, 0.2500, 0.2500)  -0.01

8.
Here is a relaxed GdErAu2 crystal from Alexandria. Energies are from PBE-GGA.

Results
**V**: 23.3 Å³/atom
**Formation energy**: -858 meV per atom
**VASP energy**: -28.6 eV/cell

Cell: 3.5739 3.5739 7.2977 Å, 90.00 90.00 90.00°
Last column: magnetic moment on the atom in μB.
Sites, in units of the cell vectors:
Er (0.5000, 0.5000, 0.0000)  0.01
Gd (0.5000, 0.5000, 0.5000)  7.03
Au (0.0000, 0.0000, 0.2356)  -0.01
Au (0.0000, 0.0000, 0.7644)  -0.01

Q: What is the formula in the third record?
A: Er2ZnGa4Au3

Q: Among the records above, which one has the highest formation energy?
A: ErZn2GaAu2